Record 1
CsCaTa after structural relaxation. Source: the Alexandria database, functional GGA-PBE.

a = 6.0937 Å, b = 6.0937 Å, c = 7.0527 Å
α = 90.00°, β = 90.00°, γ = 120.00°
With the nearest neighbours (Å) after each atom.
Element x y z (fractional)
Ca  0.6667  0.3333  0.4997  5 Ta 3.52-3.53, 6 Cs 3.93-3.94
Cs  0.0000  0.0000  0.2503  2 Cs 3.53, 6 Ca 3.93-3.94, 6 Ta 3.93-3.94
Ta  0.3333  0.6667  0.5000  5 Ca 3.52-3.53, 6 Cs 3.93-3.94
Ca  0.3333  0.6667  0.9997  5 Ta 3.52-3.53, 6 Cs 3.93-3.94
Ta  0.6667  0.3333  0.0000  5 Ca 3.52-3.53, 6 Cs 3.93-3.94
Cs  0.0000  0.0000  0.7503  2 Cs 3.53, 6 Ca 3.93-3.94, 6 Ta 3.93-3.94

Computed properties:
- distance to the lowest polymorph of the same formula (meV/atom) = 1200.0
- E_form (eV/atom) = 1.6516
- E (eV per cell) = -19.51
- SG = P6_3/mmc
- magnetization (μB per cell) = 7.91



Record 2
Cs2Ca2Ta after structural relaxation. Source: the Alexandria database, functional GGA-PBE.

a = 4.6349 Å, b = 4.6349 Å, c = 11.0260 Å
α = 77.87°, β = 77.87°, γ = 90.00°
With the nearest neighbours (Å) after each atom.
Element x y z (fractional)
Cs  0.7500  0.2500  0.5000  4 Cs 3.28
Ca  0.5763  0.5763  0.8475  1 Ca 3.21
Ta  0.0000  0.0000  0.0000  8 Ca 3.65
Cs  0.2500  0.7500  0.5000  4 Cs 3.28
Ca  0.4237  0.4237  0.1525  1 Ca 3.21

Computed properties:
- E_form (eV/atom) = 1.3234
- E (eV per cell) = -10.95
- SG = I4/mmm
- magnetization (μB per cell) = 3.94



Record 3
CsCaTa after structural relaxation. Source: the Alexandria database, functional GGA-PBE.

a = 4.6493 Å, b = 7.2322 Å, c = 16.8757 Å
α = 90.00°, β = 90.00°, γ = 90.00°
With the nearest neighbours (Å) after each atom.
Element x y z (fractional)
Cs  0.4995  0.2500  0.6482  2 Ta 3.84, 2 Cs 4.15
Ca  0.9944  0.2500  0.4108  3 Ta 3.15-3.26
Ca  0.4944  0.2500  0.0892  3 Ta 3.15-3.26
Ta  0.4936  0.2500  0.2759  2 Ta 2.48
Cs  0.9995  0.2500  0.8518  2 Ta 3.84, 2 Cs 4.15
Ta  0.0064  0.7500  0.7759  2 Ta 2.48
Ca  0.5056  0.7500  0.9108  3 Ta 3.15-3.26
Cs  0.5005  0.7500  0.3518  2 Ta 3.84, 2 Cs 4.15
Cs  0.0005  0.7500  0.1482  2 Ta 3.84, 2 Cs 4.15
Ta  0.5064  0.7500  0.7241  2 Ta 2.48
Ca  0.0056  0.7500  0.5892  3 Ta 3.15-3.26
Ta  0.9936  0.2500  0.2241  2 Ta 2.48

Computed properties:
- distance to the lowest polymorph of the same formula (meV/atom) = 493.9
- E_form (eV/atom) = 0.9454
- E (eV per cell) = -47.49
- SG = Pnma
- magnetization (μB per cell) = 0.00



Record 4
CsCa3Ta after structural relaxation. Source: the Alexandria database, functional GGA-PBE.

a = 5.9973 Å, b = 5.9973 Å, c = 5.9973 Å
α = 90.00°, β = 90.00°, γ = 90.00°
With the nearest neighbours (Å) after each atom.
Element x y z (fractional)
Ca  0.5000  0.0000  0.0000  2 Ta 3.00
Ta  0.0000  0.0000  0.0000  6 Ca 3.00
Ca  0.0000  0.5000  0.0000  2 Ta 3.00
Cs  0.5000  0.5000  0.5000  12 Ca 4.24
Ca  0.0000  0.0000  0.5000  2 Ta 3.00

Computed properties:
- distance to the lowest polymorph of the same formula (meV/atom) = 0.0
- E_form (eV/atom) = 0.9157
- E (eV per cell) = -14.13
- SG = Pm-3m
- magnetization (μB per cell) = 0.59



Record 5
Cs3CaTb2Te6 after structural relaxation. Source: the Alexandria database, functional GGA-PBE.

a = 7.9353 Å, b = 7.9353 Å, c = 9.3698 Å
α = 98.11°, β = 98.11°, γ = 120.00°
With the nearest neighbours (Å) after each atom.
Element x y z (fractional)
Te  0.9359  0.5933  0.8079  2 Tb 3.13, 1 Ca 3.22
Te  0.5933  0.9359  0.8079  2 Tb 3.13, 1 Ca 3.22
Tb  0.3331  0.6669  0.0000  6 Te 3.13
Ca  0.0000  0.0000  0.0000  6 Te 3.21-3.22
Te  0.2789  0.2789  0.8092  2 Tb 3.13, 1 Ca 3.21
Cs  0.5000  0.5000  0.5000  6 Te 3.79-3.85
Te  0.0641  0.4067  0.1921  2 Tb 3.13, 1 Ca 3.22
Te  0.4067  0.0641  0.1921  2 Tb 3.13, 1 Ca 3.22
Cs  0.8361  0.1639  0.5000  6 Te 3.80-3.86
Cs  0.1639  0.8361  0.5000  6 Te 3.80-3.86
Tb  0.6669  0.3331  0.0000  6 Te 3.13
Te  0.7211  0.7211  0.1908  2 Tb 3.13, 1 Ca 3.21

Computed properties:
- E (eV per cell) = -48.26
- SG = C2/m
- magnetization (μB per cell) = 0.00
- energy relative to the elements, uncorrected (kJ/mol of atoms) = -125.3



Record 6
CsCa2Tc after structural relaxation. Source: the Alexandria database, functional GGA-PBE.

a = 8.1203 Å, b = 8.1203 Å, c = 8.1279 Å
α = 60.03°, β = 60.03°, γ = 90.00°
With the nearest neighbours (Å) after each atom.
Element x y z (fractional)
Ca  0.8750  0.6252  0.7500  2 Tc 2.49
Ca  0.3750  0.6248  0.7500  2 Tc 2.49
Cs  0.0000  0.0000  0.0000  12 Ca 4.76-4.77, 4 Tc 4.98, 4 Cs 4.98
Tc  0.2500  0.7500  0.5000  4 Ca 2.49
Cs  0.7500  0.2500  0.5000  12 Ca 4.76-4.77, 4 Tc 4.98, 4 Cs 4.98
Ca  0.3752  0.1250  0.2500  2 Tc 2.49
Ca  0.3748  0.6250  0.2500  2 Tc 2.49
Tc  0.5000  0.5000  0.0000  4 Ca 2.49

Computed properties:
- E_form (eV/atom) = 0.9709
- E (eV per cell) = -22.68
- SG = I4_1/amd
- magnetization (μB per cell) = 0.00



Record 7
Cs3CaTc after structural relaxation. Source: the Alexandria database, functional GGA-PBE.

a = 6.3438 Å, b = 6.3438 Å, c = 6.3438 Å
α = 90.00°, β = 90.00°, γ = 90.00°
With the nearest neighbours (Å) after each atom.
Element x y z (fractional)
Cs  0.0000  0.0000  0.5000  2 Tc 3.17
Ca  0.5000  0.5000  0.5000  12 Cs 4.49
Tc  0.0000  0.0000  0.0000  6 Cs 3.17
Cs  0.5000  0.0000  0.0000  2 Tc 3.17
Cs  0.0000  0.5000  0.0000  2 Tc 3.17

Computed properties:
- E_form (eV/atom) = 1.2756
- E (eV per cell) = -8.55
- SG = Pm-3m
- magnetization (μB per cell) = 0.00



Record 8
Cs2Ca2Te after structural relaxation. Source: the Alexandria database, functional GGA-PBE.

a = 8.4940 Å, b = 8.4940 Å, c = 7.6494 Å
α = 90.00°, β = 90.00°, γ = 90.00°
With the nearest neighbours (Å) after each atom.
Element x y z (fractional)
Te  0.0000  0.0000  0.0000  4 Ca 3.19
Cs  0.1830  0.6830  0.5000  2 Ca 4.26, 5 Cs 4.40
Ca  0.8389  0.6611  0.0000  2 Te 3.19
Cs  0.8170  0.3170  0.5000  2 Ca 4.26, 5 Cs 4.40
Te  0.5000  0.5000  0.0000  4 Ca 3.19
Ca  0.1611  0.3389  0.0000  2 Te 3.19
Ca  0.3389  0.8389  0.0000  2 Te 3.19
Cs  0.6830  0.8170  0.5000  2 Ca 4.26, 5 Cs 4.40
Cs  0.3170  0.1830  0.5000  2 Ca 4.26, 5 Cs 4.40
Ca  0.6611  0.1611  0.0000  2 Te 3.19

Computed properties:
- E (eV per cell) = -21.02
- SG = P4/mbm
- magnetization (μB per cell) = 0.00
- energy relative to the elements, uncorrected (kJ/mol of atoms) = -32.0



Record 9
CsCaTe3 after structural relaxation. Source: the Alexandria database, functional GGA-PBE.

a = 6.0177 Å, b = 6.0177 Å, c = 6.0177 Å
α = 90.00°, β = 90.00°, γ = 90.00°
With the nearest neighbours (Å) after each atom.
Element x y z (fractional)
Te  0.0000  0.5000  0.0000  2 Ca 3.01
Cs  0.5000  0.5000  0.5000  12 Te 4.26
Ca  0.0000  0.0000  0.0000  6 Te 3.01
Te  0.5000  0.0000  0.0000  2 Ca 3.01
Te  0.0000  0.0000  0.5000  2 Ca 3.01

Computed properties:
- distance to the lowest polymorph of the same formula (meV/atom) = 0.0
- E (eV per cell) = -15.31
- SG = Pm-3m
- magnetization (μB per cell) = 0.00
- energy relative to the elements, uncorrected (kJ/mol of atoms) = -58.4



Record 10
Cs2CaTe after structural relaxation. Source: the Alexandria database, functional GGA-PBE.

a = 6.7138 Å, b = 6.7138 Å, c = 6.7138 Å
α = 60.00°, β = 60.00°, γ = 60.00°
With the nearest neighbours (Å) after each atom.
Element x y z (fractional)
Cs  0.7500  0.7500  0.7500  4 Te 4.11, 4 Ca 4.11
Cs  0.2500  0.2500  0.2500  4 Te 4.11, 4 Ca 4.11
Te  0.5000  0.5000  0.5000  8 Cs 4.11
Ca  0.0000  0.0000  0.0000  8 Cs 4.11

Computed properties:
- distance to the lowest polymorph of the same formula (meV/atom) = 219.1
- E (eV per cell) = -8.09
- SG = Fm-3m
- magnetization (μB per cell) = 0.00
- energy relative to the elements, uncorrected (kJ/mol of atoms) = -30.0



Record 11
Cs2CaTe after structural relaxation. Source: the Alexandria database, functional GGA-PBE.

a = 14.2871 Å, b = 14.2871 Å, c = 10.5469 Å
α = 47.37°, β = 47.37°, γ = 90.00°
With the nearest neighbours (Å) after each atom.
Element x y z (fractional)
Cs  0.3750  0.2177  0.7500  2 Te 3.88
Cs  0.8750  0.0323  0.7500  2 Te 3.88
Ca  0.5000  0.5000  0.0000  2 Te 3.03
Ca  0.2500  0.7500  0.5000  2 Te 3.03
Te  0.0000  0.0000  0.0000  2 Ca 3.03
Cs  0.7823  0.1250  0.2500  2 Te 3.88
Te  0.7500  0.2500  0.5000  2 Ca 3.03
Cs  0.9677  0.6250  0.2500  2 Te 3.88

Computed properties:
- distance to the lowest polymorph of the same formula (meV/atom) = 0.0
- E (eV per cell) = -17.94
- SG = I-42d
- magnetization (μB per cell) = 0.00
- energy relative to the elements, uncorrected (kJ/mol of atoms) = -51.2



Record 12
CsCa2Te after structural relaxation. Source: the Alexandria database, functional GGA-PBE.

a = 7.3909 Å, b = 7.3909 Å, c = 11.1785 Å
α = 70.70°, β = 70.70°, γ = 90.00°
With the nearest neighbours (Å) after each atom.
Element x y z (fractional)
Te  0.2500  0.7500  0.5000  4 Ca 3.08
Ca  0.8750  0.6258  0.7500  2 Te 3.08
Ca  0.3758  0.1250  0.2500  2 Te 3.08
Ca  0.3742  0.6250  0.2500  2 Te 3.08
Te  0.5000  0.5000  0.0000  4 Ca 3.08
Cs  0.7500  0.2500  0.5000  8 Ca 4.81-4.82, 4 Te 5.23
Ca  0.3750  0.6242  0.7500  2 Te 3.08
Cs  0.0000  0.0000  0.0000  8 Ca 4.81-4.82, 4 Te 5.23

Computed properties:
- E (eV per cell) = -18.72
- SG = I-42d
- magnetization (μB per cell) = 0.01
- energy relative to the elements, uncorrected (kJ/mol of atoms) = -32.9